1.
A relaxed structure of Re3NiIr. Source: the Alexandria database, functional PBE.

Lattice parameters (Å, degrees): 4.682 4.682 4.682 90.00 90.00 90.00
Positions (direct):
Re: 0.000 0.500 0.000
Re: 0.000 0.000 0.500
Re: 0.500 0.000 0.000
Ir: 0.000 0.000 0.000
Ni: 0.500 0.500 0.500

Output
Total magnetic moment, μB per formula unit: 0.00
Total energy, eV/atom: -7.932
Energy above the lowest structure with this stoichiometry, meV/atom: 764
Energy of formation from the pure elements, kJ/mol of formula units: 1189.3
Space-group type: Pm-3m

2.
A relaxed structure of Re2NiIr. Source: the Alexandria database, functional PBE.

Lattice parameters (Å, degrees): 5.292 5.292 5.292 149.96 130.48 59.01
Positions (direct):
Ir: 0.476 0.476 0.000
Ni: 0.250 0.750 0.500
Re: 0.031 0.031 0.000
Re: 0.743 0.243 0.500

Output
Total magnetic moment, μB per formula unit: 0.00
Total energy, eV/atom: -9.705
Energy above the lowest structure with this stoichiometry, meV/atom: 323
Energy of formation from the pure elements, kJ/mol of formula units: 69.2
Space-group type: Imm2

3.
A relaxed structure of ReNi2Ir. Source: the Alexandria database, functional PBE.

Lattice parameters (Å, degrees): 4.160 4.160 4.160 60.00 60.00 60.00
Positions (direct):
Re: 0.000 0.000 0.000
Ir: 0.500 0.500 0.500
Ni: 0.250 0.250 0.250
Ni: 0.750 0.750 0.750

Output
Total magnetic moment, μB per formula unit: 0.00
Total energy, eV/atom: -8.084
Energy above the lowest structure with this stoichiometry, meV/atom: 219
Energy of formation from the pure elements, kJ/mol of formula units: 51.6
Space-group type: Fm-3m

4.
A relaxed structure of ReNi4Ir. Source: the Alexandria database, functional PBE.

Lattice parameters (Å, degrees): 4.002 6.720 6.406 90.00 108.20 90.00
Positions (direct):
Re: 0.355 0.750 0.710
Re: 0.645 0.250 0.290
Ni: 0.242 0.417 0.483
Ni: 0.758 0.583 0.517
Ni: 0.242 0.083 0.483
Ni: 0.758 0.917 0.517
Ni: 0.544 0.750 0.088
Ni: 0.456 0.250 0.912
Ni: 0.000 0.500 0.000
Ni: 0.000 0.000 0.000
Ir: 0.150 0.750 0.300
Ir: 0.850 0.250 0.700

Output
Total magnetic moment, μB per formula unit: 0.54
Total energy, eV/atom: -6.911
Energy above the lowest structure with this stoichiometry, meV/atom: 493
Energy of formation from the pure elements, kJ/mol of formula units: 286.6
Space-group type: Cmcm